Entry 1:
Compound: Ac2UAgS6
Source: the Alexandria database
Functional: PBE
Structure: optimized geometry

**Formation energy without anion corrections**: -1519 meV/atom
**Energy**: -6.231 eV per atom

Unit cell a=7.229 b=7.230 c=7.317 alpha=60.39 beta=60.39 gamma=60.00
Each line ends with the local moment (μB).
Fractional coordinates of all 10 atoms:
1 Ac 0.538 0.538 0.387  0.00
2 Ac 0.028 0.028 0.916  0.00
3 U 0.321 0.321 0.037  1.20
4 Ag 0.808 0.808 0.576  -0.02
5 S 0.582 0.179 0.264  -0.03
6 S 0.179 0.975 0.264  -0.03
7 S 0.975 0.582 0.264  -0.03
8 S 0.454 0.672 0.768  -0.03
9 S 0.672 0.106 0.768  -0.03
10 S 0.106 0.454 0.768  -0.03

---

Entry 2:
Compound: LiAc2Se3
Source: the Alexandria database
Functional: PBE
Structure: optimized geometry

**Formation energy without anion corrections**: -1650 meV/atom
**Energy**: -5.081 eV per atom
**Distance to the lowest polymorph of the same formula**: 0.1342 eV per atom

Unit cell a=6.897 b=6.897 c=7.768 alpha=75.26 beta=75.26 gamma=72.35
Fractional coordinates of all 12 atoms:
1 Li 0.907 0.093 0.750
2 Li 0.093 0.907 0.250
3 Ac 0.149 0.549 0.664
4 Ac 0.549 0.149 0.164
5 Ac 0.451 0.851 0.836
6 Ac 0.851 0.451 0.336
7 Se 0.395 0.605 0.250
8 Se 0.605 0.395 0.750
9 Se 0.886 0.786 0.980
10 Se 0.214 0.114 0.520
11 Se 0.786 0.886 0.480
12 Se 0.114 0.214 0.020